No. 1
DFT (PBE) results for an optimized crystal structure of Dy2Tm7Th.

Values from the calculation:
The calculation puts the density of states at the Fermi level at 1.6313 states/eV per atom. Its formation energy from the elements is 735 meV per atom.

a b c (Å): 5.175 9.510 9.510
angles (deg): 126.24 90.00 90.00
Fractional positions:
Dy  0.500  0.701  0.299
Dy  0.500  0.299  0.701
Tm  0.000  0.803  0.197
Tm  0.000  0.197  0.803
Tm  0.500  0.069  0.285
Tm  0.500  0.931  0.715
Tm  0.500  0.285  0.069
Tm  0.500  0.715  0.931
Tm  0.500  0.500  0.500
Th  0.000  0.000  0.000


No. 2
DFT (PBE) results for an optimized crystal structure of Dy6TmTh2.

Values from the calculation:
Its offset from the most stable computed form is 0.00 eV per formula unit. The calculation puts the density of states at the Fermi level at 1.5011 states/eV per atom. Its formation energy from the elements is 29 meV per atom.

a b c (Å): 5.040 7.924 7.927
angles (deg): 84.18 71.44 71.42
Fractional positions:
Dy  0.670  0.826  0.833
Dy  0.330  0.174  0.167
Dy  0.004  0.826  0.167
Dy  0.335  0.831  0.500
Dy  0.996  0.174  0.833
Dy  0.665  0.169  0.500
Tm  0.000  0.500  0.500
Th  0.332  0.500  0.836
Th  0.668  0.500  0.164


No. 3
DFT (PBE) results for an optimized crystal structure of DyTm3Th2.

Values from the calculation:
Its offset from the most stable computed form is 0.00 eV per formula unit. The calculation puts the density of states at the Fermi level at 1.2761 states/eV per atom. Its formation energy from the elements is 29 meV per atom.

a b c (Å): 3.546 9.955 10.556
angles (deg): 89.87 90.00 90.00
Fractional positions:
Dy  0.250  0.876  0.751
Dy  0.750  0.124  0.249
Tm  0.750  0.131  0.582
Tm  0.250  0.869  0.418
Tm  0.750  0.624  0.251
Tm  0.250  0.376  0.749
Tm  0.250  0.371  0.082
Tm  0.750  0.629  0.918
Th  0.250  0.378  0.417
Th  0.750  0.622  0.583
Th  0.750  0.125  0.917
Th  0.250  0.875  0.083


No. 4
DFT (PBE) results for an optimized crystal structure of Dy2Tm4Th3.

Values from the calculation:
The calculation puts the density of states at the Fermi level at 1.9715 states/eV per atom. Its formation energy from the elements is 80 meV per atom.

a b c (Å): 3.538 3.538 26.216
angles (deg): 90.00 90.00 120.00
Fractional positions:
Dy  0.667  0.333  0.091
Dy  0.667  0.333  0.870
Tm  0.000  0.000  0.542
Tm  0.667  0.333  0.436
Tm  0.667  0.333  0.217
Tm  0.000  0.000  0.762
Th  0.000  0.000  0.983
Th  0.000  0.000  0.324
Th  0.667  0.333  0.652


No. 5
DFT (PBE) results for an optimized crystal structure of Dy5Tm4Th.

Values from the calculation:
Its offset from the most stable computed form is 1.41 eV per formula unit. The calculation puts the density of states at the Fermi level at 1.3359 states/eV per atom. Its formation energy from the elements is 335 meV per atom.

a b c (Å): 6.342 7.803 7.803
angles (deg): 80.48 66.02 66.02
Fractional positions:
Dy  0.807  0.378  0.908
Dy  0.185  0.907  0.622
Dy  0.715  0.093  0.378
Dy  0.093  0.622  0.092
Dy  0.690  0.000  0.000
Tm  0.397  0.398  0.705
Tm  0.795  0.705  0.602
Tm  0.102  0.295  0.398
Tm  0.500  0.602  0.295
Th  0.225  0.000  0.000


No. 6
DFT (PBE) results for an optimized crystal structure of Dy4Tm4Th.

Values from the calculation:
The calculation puts the density of states at the Fermi level at 1.5482 states/eV per atom. Its formation energy from the elements is 29 meV per atom.

a b c (Å): 4.983 7.885 7.885
angles (deg): 84.27 71.58 71.58
Fractional positions:
Dy  0.669  0.331  0.331
Dy  0.331  0.669  0.669
Dy  0.000  0.669  0.331
Dy  0.000  0.331  0.669
Tm  0.665  0.670  0.000
Tm  0.335  0.330  0.000
Tm  0.665  0.000  0.670
Tm  0.335  0.000  0.330
Th  0.000  0.000  0.000


No. 7
DFT (PBE) results for an optimized crystal structure of DyTmTh.

Values from the calculation:
Its offset from the most stable computed form is 0.04 eV per formula unit. The calculation puts the density of states at the Fermi level at 1.7310 states/eV per atom. Its formation energy from the elements is 33 meV per atom.

a b c (Å): 7.146 5.738 9.440
angles (deg): 90.00 100.83 90.01
Fractional positions:
Dy  0.722  0.250  0.387
Dy  0.222  0.250  0.387
Dy  0.778  0.750  0.613
Dy  0.278  0.750  0.613
Tm  0.945  0.750  0.277
Tm  0.445  0.750  0.277
Tm  0.555  0.250  0.723
Tm  0.055  0.250  0.723
Th  0.114  0.750  0.951
Th  0.614  0.750  0.951
Th  0.386  0.250  0.049
Th  0.886  0.250  0.049


No. 8
DFT (PBE) results for an optimized crystal structure of Dy5Tm6Th.

Values from the calculation:
The calculation puts the density of states at the Fermi level at 1.4995 states/eV per atom. Its formation energy from the elements is 27 meV per atom.

a b c (Å): 9.325 9.325 4.984
angles (deg): 105.51 105.51 106.91
Fractional positions:
Tm  0.414  0.084  0.249
Tm  0.916  0.586  0.751
Tm  0.248  0.248  0.748
Tm  0.752  0.752  0.252
Tm  0.084  0.414  0.249
Tm  0.586  0.916  0.751
Th  0.000  0.000  0.000
Dy  0.834  0.166  0.500
Dy  0.667  0.333  0.000
Dy  0.500  0.500  0.500
Dy  0.333  0.667  0.000
Dy  0.166  0.834  0.500